No. 1
# ZrHgPb2

A geometry-optimized ZrHgPb2 structure (PBE, Alexandria via LeMat-Bulk).

Lattice parameters (Å, degrees): 5.4764 3.2170 5.9069 87.53 90.00 90.00
Closest atoms and distances in Å follow each position.
Sites, in units of the cell vectors:
Pb: 0.0000 0.5421 0.4931  4 Pb 3.12-3.37, 2 Hg 3.21, 2 Zr 3.25
Hg: 0.5000 0.7500 0.7500  4 Pb 3.21, 2 Hg 3.22, 4 Zr 3.30-3.42
Zr: 0.5000 0.2500 0.2500  2 Zr 3.22, 4 Pb 3.25, 4 Hg 3.30-3.42
Pb: 0.0000 0.9579 0.0069  4 Pb 3.12-3.37, 2 Hg 3.21, 2 Zr 3.25

Values from the calculation:
total DFT energy (no corrections): -3.980 eV per atom
energy of formation: 0.09 eV/atom


No. 2
# La3Pm6PrY2

A geometry-optimized La3Pm6PrY2 structure (PBE, Alexandria via LeMat-Bulk).

Lattice parameters (Å, degrees): 6.3507 6.3507 12.1811 95.01 95.01 120.03
Closest atoms and distances in Å follow each position.
Sites, in units of the cell vectors:
La: 0.8328 0.1672 0.5000  6 La 3.66-3.68, 6 Pm 3.70-3.71
Pm: 0.2517 0.2517 0.7533  2 Y 3.64, 1 Pr 3.64, 6 Pm 3.66-3.67, 3 La 3.70-3.71
La: 0.5000 0.5000 0.5000  6 La 3.66-3.67, 6 Pm 3.70-3.71
Pm: 0.9181 0.5842 0.7535  2 Y 3.63-3.64, 1 Pr 3.64, 6 Pm 3.66-3.67, 3 La 3.70-3.71
Pm: 0.5842 0.9181 0.7535  2 Y 3.63-3.64, 1 Pr 3.64, 6 Pm 3.66-3.67, 3 La 3.70-3.71
La: 0.1672 0.8328 0.5000  6 La 3.66-3.68, 6 Pm 3.70-3.71
Pm: 0.7483 0.7483 0.2467  2 Y 3.64, 1 Pr 3.64, 6 Pm 3.66-3.67, 3 La 3.70-3.71
Pm: 0.4158 0.0819 0.2465  2 Y 3.63-3.64, 1 Pr 3.64, 6 Pm 3.66-3.67, 3 La 3.70-3.71
Pm: 0.0819 0.4158 0.2465  2 Y 3.63-3.64, 1 Pr 3.64, 6 Pm 3.66-3.67, 3 La 3.70-3.71
Y: 0.6667 0.3333 0.0000  6 Pm 3.63-3.64, 3 Y 3.67, 3 Pr 3.67
Pr: 0.0000 0.0000 0.0000  6 Pm 3.64, 6 Y 3.67
Y: 0.3333 0.6667 0.0000  6 Pm 3.63-3.64, 3 Y 3.67, 3 Pr 3.67

Values from the calculation:
total DFT energy (no corrections): -5.066 eV per atom
energy of formation: 0.02 eV/atom


No. 3
# DyHoHgRh

A geometry-optimized DyHoHgRh structure (PBE, Alexandria via LeMat-Bulk).

Lattice parameters (Å, degrees): 3.4918 3.4918 7.4881 90.00 90.00 90.00
Closest atoms and distances in Å follow each position.
Sites, in units of the cell vectors:
Dy: 0.0000 0.0000 0.8274  4 Rh 2.98, 4 Hg 3.25, 1 Ho 3.30
Ho: 0.0000 0.0000 0.3866  4 Rh 2.96, 4 Hg 3.23, 1 Dy 3.30
Hg: 0.5000 0.5000 0.1087  4 Ho 3.23, 4 Dy 3.25, 4 Hg 3.49
Rh: 0.5000 0.5000 0.6052  4 Ho 2.96, 4 Dy 2.98

Values from the calculation:
distance to the lowest polymorph of the same formula: 0.000 eV/atom
total DFT energy (no corrections): -4.912 eV per atom
energy of formation: -0.70 eV/atom


No. 4
# NdCu3Rh

A geometry-optimized NdCu3Rh structure (PBE, Alexandria via LeMat-Bulk).

Lattice parameters (Å, degrees): 4.5277 7.1736 7.1736 122.22 90.00 90.00
Closest atoms and distances in Å follow each position.
Sites, in units of the cell vectors:
Nd: 0.7500 0.6088 0.3912  1 Rh 2.67, 2 Cu 2.87
Rh: 0.7500 0.8212 0.1788  8 Cu 2.51-2.67, 1 Nd 2.67
Cu: 0.5000 0.0000 0.0000  2 Cu 2.26, 2 Rh 2.52
Cu: 0.2500 0.5893 0.0778  3 Cu 2.31-2.55, 1 Rh 2.51
Cu: 0.0000 0.0000 0.0000  2 Cu 2.26, 2 Rh 2.52
Rh: 0.2500 0.1788 0.8212  8 Cu 2.51-2.67, 1 Nd 2.67
Nd: 0.2500 0.3912 0.6088  1 Rh 2.67, 2 Cu 2.87
Cu: 0.7500 0.4107 0.9222  3 Cu 2.31-2.55, 1 Rh 2.51
Cu: 0.2500 0.9222 0.4107  3 Cu 2.31-2.55, 1 Rh 2.51
Cu: 0.7500 0.0778 0.5893  3 Cu 2.31-2.55, 1 Rh 2.51

Values from the calculation:
total DFT energy (no corrections): -4.695 eV per atom
energy of formation: 0.19 eV/atom


No. 5
# Mg2AlZn2

A geometry-optimized Mg2AlZn2 structure (PBE, Alexandria via LeMat-Bulk).

Lattice parameters (Å, degrees): 7.8783 7.8783 3.0988 90.00 90.00 90.00
Closest atoms and distances in Å follow each position.
Sites, in units of the cell vectors:
Mg: 0.3663 0.8663 0.0000  6 Zn 2.71-2.84, 1 Mg 2.98
Zn: 0.3333 0.1667 0.5000  6 Mg 2.71-2.84
Mg: 0.6337 0.1337 0.0000  6 Zn 2.71-2.84, 1 Mg 2.98
Zn: 0.6667 0.8333 0.5000  6 Mg 2.71-2.84
Al: 0.0000 0.0000 0.0000  4 Mg 3.07, 2 Al 3.10, 8 Zn 3.32
Mg: 0.1337 0.3663 0.0000  6 Zn 2.71-2.84, 1 Mg 2.98
Al: 0.5000 0.5000 0.0000  4 Mg 3.07, 2 Al 3.10, 8 Zn 3.32
Zn: 0.1667 0.6667 0.5000  6 Mg 2.71-2.84
Mg: 0.8663 0.6337 0.0000  6 Zn 2.71-2.84, 1 Mg 2.98
Zn: 0.8333 0.3333 0.5000  6 Mg 2.71-2.84

Values from the calculation:
distance to the lowest polymorph of the same formula: 0.172 eV/atom
total DFT energy (no corrections): -1.768 eV per atom
energy of formation: 0.13 eV/atom


No. 6
# Pa3Ta

A geometry-optimized Pa3Ta structure (PBE, Alexandria via LeMat-Bulk).

Lattice parameters (Å, degrees): 3.0447 5.7871 6.1830 117.90 104.25 90.00
Closest atoms and distances in Å follow each position.
Sites, in units of the cell vectors:
Pa: 0.7364 0.0243 0.4728  3 Pa 2.87-3.04, 1 Ta 3.08
Pa: 0.5000 0.5377 0.0000  4 Pa 2.87-3.04, 2 Ta 3.19
Pa: 0.2636 0.5514 0.5272  3 Pa 2.87-3.04, 1 Ta 3.08
Ta: 0.0000 0.0533 0.0000  2 Ta 3.04, 10 Pa 3.08-3.35

Values from the calculation:
distance to the lowest polymorph of the same formula: 0.000 eV/atom
total DFT energy (no corrections): -9.943 eV per atom
energy of formation: 0.14 eV/atom


No. 7
# SrP2Br

A geometry-optimized SrP2Br structure (PBE, Alexandria via LeMat-Bulk).

Lattice parameters (Å, degrees): 3.6363 4.1120 7.8957 80.19 90.00 90.00
Closest atoms and distances in Å follow each position.
Sites, in units of the cell vectors:
P: 0.5000 0.2965 0.1811  2 P 2.25
Br: 0.5000 0.8287 0.6720  4 Sr 3.11
P: 0.0000 0.9838 0.1627  2 P 2.25
Sr: 0.0000 0.3910 0.4841  4 P 3.08-3.27, 4 Br 3.11

Values from the calculation:
distance to the lowest polymorph of the same formula: 0.000 eV/atom
total DFT energy (no corrections): -4.371 eV per atom
energy relative to the elements, uncorrected: -827.1 meV/atom


No. 8
# AlAg2Rh

A geometry-optimized AlAg2Rh structure (PBE, Alexandria via LeMat-Bulk).

Lattice parameters (Å, degrees): 3.7266 3.7266 10.2682 79.54 79.54 90.00
Closest atoms and distances in Å follow each position.
Sites, in units of the cell vectors:
Ag: 0.1256 0.6250 0.2500  4 Ag 2.63-2.64, 2 Al 2.81, 2 Rh 2.81
Rh: 0.7500 0.2500 0.5000  4 Al 2.64, 4 Ag 2.81
Rh: 0.0000 0.0000 0.0000  4 Al 2.64, 4 Ag 2.81
Al: 0.2500 0.7500 0.5000  4 Rh 2.64, 4 Ag 2.81
Ag: 0.6244 0.1250 0.2500  4 Ag 2.63-2.64, 2 Al 2.81, 2 Rh 2.81
Ag: 0.8750 0.8744 0.7500  4 Ag 2.63-2.64, 2 Al 2.81, 2 Rh 2.81
Al: 0.5000 0.5000 0.0000  4 Rh 2.64, 4 Ag 2.81
Ag: 0.3750 0.3756 0.7500  4 Ag 2.63-2.64, 2 Al 2.81, 2 Rh 2.81

Values from the calculation:
total DFT energy (no corrections): -4.168 eV per atom
energy of formation: 0.03 eV/atom